Material: Al2NiRhW
Method: DFT, PBE
State: relaxed

DOS(E_F), states/eV per atom: 0.82
Calculated formation energy, eV per atom: 0.887
Energy, eV/cell: -29.1

a = 4.522 Å, b = 4.795 Å, c = 4.522 Å
α = 90.00°, β = 90.00°, γ = 90.00°
Site moments in Bohr magnetons follow the coordinates.
Element x y z (fractional)
W 0.000 0.500 0.000  0.76
Ni 0.500 0.500 0.500  0.30
Al 0.500 0.000 0.000  -0.01
Al 0.000 0.000 0.500  0.00
Rh 0.000 0.000 0.000  -0.01